GdScCdOs: relaxed, PBE.

The density of states at the Fermi level comes out at 0.912 states/eV per atom. The value obtained for the total energy is -8.338 eV/atom.

It has space group F-43m (No. 216), with a = 6.942 Å, b = 6.942 Å, c = 6.942 Å, α = 90.00°, β = 90.00° and γ = 90.00°. The asymmetric unit holds Gd at (0.000, 0.000, 0.000), Sc at (0.000, 0.000, 0.500), Cd at (0.250, 0.250, 0.750) and Os at (0.250, 0.250, 0.250).